Record 1
# PmRh2O6, relaxed, DFT GGA-PBE
data_PmRh2O6
_chemical_formula_sum 'Pm1 Rh2 O6'
_symmetry_space_group_name_H-M 'P -3 1 m'
_symmetry_Int_Tables_number 162
_symmetry_space_group_name_Hall '-P 3 2'
_cell_length_a 5.2437
_cell_length_b 5.2437
_cell_length_c 5.0013
_cell_angle_alpha 90.00
_cell_angle_beta 90.00
_cell_angle_gamma 120.00
loop_
_atom_site_label
_atom_site_type_symbol
_atom_site_fract_x
_atom_site_fract_y
_atom_site_fract_z
Pm1 Pm 0.0000 0.0000 0.0000
Rh1 Rh 0.3333 0.6667 0.5000
O1 O 0.0000 0.3649 0.7174
# E, eV/atom: -6.882
# ΔE_f (raw), meV per atom: -1415
# Mass density, Mg/m³: 6.2
# Magnetization, μB per formula unit: 2.97
# DOS at the Fermi energy, states/eV/cell: 4.2


Record 2
# SrLa3Ru, relaxed, DFT GGA-PBE
data_SrLa3Ru
_chemical_formula_sum 'Sr2 La6 Ru2'
_symmetry_space_group_name_H-M 'P 63/m m c'
_symmetry_Int_Tables_number 194
_symmetry_space_group_name_Hall '-P 6c 2c'
_cell_length_a 4.7672
_cell_length_b 4.7672
_cell_length_c 18.0054
_cell_angle_alpha 90.00
_cell_angle_beta 90.00
_cell_angle_gamma 120.00
loop_
_atom_site_label
_atom_site_type_symbol
_atom_site_fract_x
_atom_site_fract_y
_atom_site_fract_z
Sr1 Sr 0.3333 0.6667 0.2500
La1 La 0.0000 0.0000 0.2500
La2 La 0.3333 0.6667 0.0674
Ru1 Ru 0.0000 0.0000 0.0000
# Relative energy among the computed polymorphs, meV per atom: 1076
# E, eV/atom: -4.251
# Formation energy, eV/atom: 0.897
# Mass density, Mg/m³: 5.7
# Magnetization, μB per formula unit: 0.67
# DOS at the Fermi energy, states/eV/cell: 12.9